No. 1
64
Lattice="13.288 0.000 0.000 0.000 6.694 0.000 0.000 0.000 10.775" Properties=species:S:1:pos:R:3 comment="RbTiAsO5 PBEsol optimized geometry" dos_ef_per_ev_atom=0.000 total_energy_ha_per_atom=-0.265 sg=Pna2_1 pbc="T T T"
Rb 1.473 1.290 0.000
Rb 1.595 5.225 2.691
Rb 5.049 1.878 8.079
Rb 5.171 4.637 5.387
Rb 8.117 2.057 0.000
Rb 8.239 4.816 2.691
Rb 11.693 1.469 8.079
Rb 11.815 5.404 5.387
Ti 1.695 3.376 6.089
Ti 3.280 5.107 8.792
Ti 3.364 1.760 3.404
Ti 4.949 0.029 0.702
Ti 8.339 6.665 6.089
Ti 9.924 4.934 8.792
Ti 10.008 1.587 3.404
Ti 11.592 3.318 0.702
As 0.008 2.215 3.357
As 2.382 0.047 6.022
As 4.262 3.394 0.634
As 6.636 5.562 8.744
As 6.652 1.132 3.357
As 9.025 3.300 6.022
As 10.906 6.647 0.634
As 13.280 4.479 8.744
O 0.125 3.574 7.296
O 0.166 3.320 4.629
O 1.344 5.513 8.991
O 1.403 1.242 3.124
O 1.403 1.396 6.376
O 1.431 5.379 5.628
O 2.882 2.999 4.665
O 2.886 3.782 7.349
O 3.197 3.623 10.075
O 3.216 3.104 1.959
O 3.427 6.451 7.346
O 3.447 0.276 4.687
O 3.758 0.435 1.961
O 3.762 6.346 10.052
O 5.213 2.032 0.241
O 5.241 4.589 8.511
O 5.241 4.743 0.989
O 5.300 2.166 3.603
O 6.478 6.667 10.016
O 6.519 0.227 1.908
O 6.768 6.467 7.296
O 6.810 0.027 4.629
O 7.988 4.528 8.991
O 8.047 1.951 6.376
O 8.047 2.105 3.124
O 8.075 4.662 5.628
O 9.525 0.348 4.665
O 9.530 6.259 7.349
O 9.841 6.417 10.075
O 9.860 0.243 1.959
O 10.071 3.590 7.346
O 10.091 3.071 4.687
O 10.402 2.912 1.961
O 10.406 3.695 10.052
O 11.857 1.315 0.241
O 11.885 5.298 0.989
O 11.884 5.452 8.511
O 11.944 1.181 3.603
O 13.122 3.374 10.016
O 13.163 3.120 1.908


No. 2
22
Lattice="4.714 -4.647 0.000 4.714 4.647 0.000 -0.153 0.000 6.655" Properties=species:S:1:pos:R:3 comment="Na2La2PtO6 PBEsol optimized geometry" dos_ef_per_ev_atom=0.000 total_energy_ha_per_atom=-0.255 sg=C2 pbc="T T T"
Na 0.000 0.000 0.000
Na 1.560 1.579 4.287
Na 4.638 -0.116 3.327
Na 7.716 1.579 2.367
La 4.638 3.376 3.327
La 4.714 1.236 0.000
La 2.916 -1.802 5.651
La 6.359 -1.802 1.004
Pt 2.358 -0.111 1.693
Pt 6.917 -0.111 4.962
O 3.349 2.961 5.510
O 2.171 0.519 6.432
O 3.502 1.548 2.114
O 5.927 2.961 1.145
O 2.373 -0.718 3.643
O 5.773 1.548 4.541
O 4.115 -1.061 1.243
O 5.160 -1.061 5.412
O 7.104 0.519 0.223
O 6.903 -0.718 3.012
O 3.921 -3.779 4.590
O 5.354 -3.779 2.064